[1]
A relaxed Pr3NdAu7 crystal, computed with PBE.

Output
total moment = 0.00 μB/f.u.
E = -99.39 eV per cell
space-group type = Cmcm, No. 63
N(E_F) = 0.5887 states/eV/atom

a = 3.8891 Å, b = 11.5348 Å, c = 12.8418 Å
α = 90.00°, β = 90.00°, γ = 99.71°
Element x y z (fractional)
Pr 0.1424 0.2849 0.0602
Au 0.3822 0.7645 0.7500
Nd 0.0048 0.0096 0.7500
Au 0.2786 0.5572 0.0678
Au 0.7214 0.4428 0.9322
Au 0.4027 0.8054 0.3662
Au 0.7214 0.4428 0.5678
Au 0.6178 0.2355 0.2500
Pr 0.8576 0.7151 0.5602
Pr 0.8128 0.6256 0.2500
Au 0.4027 0.8054 0.1338
Au 0.5973 0.1946 0.6338
Au 0.5375 0.0750 0.4217
Pr 0.1424 0.2849 0.4398
Au 0.4625 0.9250 0.5783
Au 0.2786 0.5572 0.4322
Pr 0.8576 0.7151 0.9398
Pr 0.1872 0.3744 0.7500
Au 0.4625 0.9250 0.9217
Au 0.5375 0.0750 0.0783
Nd 0.9952 0.9904 0.2500
Au 0.5973 0.1946 0.8662



[2]
A relaxed Pr2NdAu crystal, computed with PBE.

Output
total moment = 0.44 μB/f.u.
E = -17.75 eV per cell
space-group type = R-3m, No. 166
N(E_F) = 1.6848 states/eV/atom

a = 3.6602 Å, b = 3.6602 Å, c = 11.6526 Å
α = 80.96°, β = 80.96°, γ = 60.00°
Element x y z (fractional)
Pr 0.8990 0.8990 0.3030
Nd 0.0000 0.0000 0.0000
Au 0.5000 0.5000 0.5000
Pr 0.1010 0.1010 0.6970



[3]
A relaxed Pr2Nd2Au3 crystal, computed with PBE.

Output
total moment = 0.00 μB/f.u.
E = -66.19 eV per cell
space-group type = I2_13, No. 199
N(E_F) = 1.5109 states/eV/atom

a = 8.0213 Å, b = 8.0213 Å, c = 8.0213 Å
α = 109.47°, β = 109.47°, γ = 109.47°
Element x y z (fractional)
Pr 0.5000 0.3603 0.5000
Au 0.1278 0.3778 0.2500
Au 0.6222 0.7500 0.8722
Nd 0.1385 0.6385 0.6385
Pr 0.0000 0.0000 0.3603
Au 0.2500 0.8722 0.1222
Nd 0.0000 0.0000 0.8615
Au 0.3722 0.1222 0.7500
Nd 0.3615 0.5000 0.0000
Au 0.8778 0.2500 0.6278
Nd 0.5000 0.8615 0.5000
Au 0.7500 0.6278 0.3778
Pr 0.8603 0.5000 0.0000
Pr 0.6397 0.1397 0.1397



[4]
A relaxed Pr2NdAu crystal, computed with PBE.

Output
total moment = 0.00 μB/f.u.
E = -18.52 eV per cell
space-group type = P4/mmm, No. 123
N(E_F) = 1.1970 states/eV/atom

a = 3.7399 Å, b = 5.6068 Å, c = 5.6068 Å
α = 90.00°, β = 90.00°, γ = 90.00°
Element x y z (fractional)
Pr 0.0000 0.5000 0.0000
Pr 0.0000 0.0000 0.5000
Au 0.5000 0.0000 0.0000
Nd 0.5000 0.5000 0.5000



[5]
A relaxed Pr6NdAu2 crystal, computed with PBE.

Output
total moment = 0.00 μB/f.u.
E = -42.92 eV per cell
space-group type = C2/m, No. 12
N(E_F) = 1.3050 states/eV/atom

a = 3.7922 Å, b = 6.7415 Å, c = 12.0614 Å
α = 75.25°, β = 80.96°, γ = 73.66°
Element x y z (fractional)
Pr 0.9720 0.7262 0.3298
Pr 0.3121 0.7841 0.5918
Pr 0.0280 0.2738 0.6702
Pr 0.3119 0.5004 0.8758
Au 0.3578 0.0913 0.1930
Nd 0.0000 0.0000 0.0000
Au 0.6422 0.9087 0.8070
Pr 0.6879 0.2159 0.4082
Pr 0.6881 0.4996 0.1242



[6]
A relaxed Pr4NdAu2 crystal, computed with PBE.

Output
total moment = 0.52 μB/f.u.
E = -31.85 eV per cell
space-group type = R-3m, No. 166
N(E_F) = 1.5238 states/eV/atom

a = 4.7975 Å, b = 4.7975 Å, c = 12.0406 Å
α = 78.51°, β = 78.51°, γ = 60.00°
Element x y z (fractional)
Au 0.5978 0.5978 0.2067
Pr 0.8927 0.8927 0.3218
Pr 0.7005 0.7005 0.8984
Au 0.4022 0.4022 0.7933
Pr 0.1073 0.1073 0.6782
Nd 0.5000 0.5000 0.5000
Pr 0.2995 0.2995 0.1016



[7]
A relaxed PrNdAu4 crystal, computed with PBE.

Output
total moment = 0.00 μB/f.u.
E = -27.18 eV per cell
space-group type = C2/m, No. 12
N(E_F) = 0.8948 states/eV/atom

a = 4.8083 Å, b = 4.8083 Å, c = 11.0627 Å
α = 48.69°, β = 48.69°, γ = 59.17°
Element x y z (fractional)
Pr 0.0000 0.0000 0.0000
Au 0.0802 0.0802 0.2546
Au 0.5876 0.5876 0.7470
Au 0.9198 0.9198 0.7454
Nd 0.5000 0.5000 0.5000
Au 0.4124 0.4124 0.2530



[8]
A relaxed Pr2NdAu4 crystal, computed with PBE.

Output
total moment = 0.00 μB/f.u.
E = -31.89 eV per cell
space-group type = I4/mmm, No. 139
N(E_F) = 0.9389 states/eV/atom

a = 5.3989 Å, b = 5.3989 Å, c = 7.6143 Å
α = 110.76°, β = 110.76°, γ = 90.00°
Element x y z (fractional)
Au 0.3822 0.8822 0.7644
Au 0.8822 0.3822 0.7644
Au 0.1178 0.6178 0.2356
Au 0.6178 0.1178 0.2356
Pr 0.2804 0.2804 0.5608
Nd 0.0000 0.0000 0.0000
Pr 0.7196 0.7196 0.4392



[9]
A relaxed PrNdRhAu crystal, computed with PBE.

Output
total moment = 0.00 μB/f.u.
E = -22.85 eV per cell
space-group type = F-43m, No. 216
N(E_F) = 1.0482 states/eV/atom

a = 5.1577 Å, b = 5.1577 Å, c = 5.1577 Å
α = 60.00°, β = 60.00°, γ = 60.00°
Element x y z (fractional)
Nd 0.2500 0.2500 0.2500
Rh 0.5000 0.5000 0.5000
Pr 0.7500 0.7500 0.7500
Au 0.0000 0.0000 0.0000



[10]
A relaxed PrNdRhAu crystal, computed with PBE.

Output
total moment = 0.00 μB/f.u.
E = -23.15 eV per cell
space-group type = Amm2, No. 38
N(E_F) = 0.6325 states/eV/atom

a = 3.9885 Å, b = 4.6281 Å, c = 5.7797 Å
α = 90.00°, β = 110.18°, γ = 90.00°
Element x y z (fractional)
Au 0.5820 0.5000 0.1639
Pr 0.1445 0.0000 0.2890
Rh 0.4086 0.0000 0.8172
Nd 0.8650 0.5000 0.7300



[11]
A relaxed PrNdRuAu crystal, computed with PBE.

Output
total moment = 0.00 μB/f.u.
E = -23.71 eV per cell
space-group type = F-43m, No. 216
N(E_F) = 0.7620 states/eV/atom

a = 5.1314 Å, b = 5.1314 Å, c = 5.1314 Å
α = 60.00°, β = 60.00°, γ = 60.00°
Element x y z (fractional)
Pr 0.0000 0.0000 0.0000
Ru 0.2500 0.2500 0.2500
Nd 0.5000 0.5000 0.5000
Au 0.7500 0.7500 0.7500



[12]
A relaxed PrNdSbAu crystal, computed with PBE.

Output
total moment = 0.00 μB/f.u.
space-group type = F-43m, No. 216
N(E_F) = 1.0618 states/eV/atom
uncorrected formation energy = -0.8156 eV/atom

a = 5.3912 Å, b = 5.3912 Å, c = 5.3912 Å
α = 60.00°, β = 60.00°, γ = 60.00°
Element x y z (fractional)
Sb 0.5000 0.5000 0.5000
Nd 0.2500 0.2500 0.2500
Pr 0.7500 0.7500 0.7500
Au 0.0000 0.0000 0.0000



Please write out number 7 again, unchanged.
A relaxed PrNdAu4 crystal, computed with PBE.

Output
total moment = 0.00 μB/f.u.
E = -27.18 eV per cell
space-group type = C2/m, No. 12
N(E_F) = 0.8948 states/eV/atom

a = 4.8083 Å, b = 4.8083 Å, c = 11.0627 Å
α = 48.69°, β = 48.69°, γ = 59.17°
Element x y z (fractional)
Pr 0.0000 0.0000 0.0000
Au 0.0802 0.0802 0.2546
Au 0.5876 0.5876 0.7470
Au 0.9198 0.9198 0.7454
Nd 0.5000 0.5000 0.5000
Au 0.4124 0.4124 0.2530